A.
A relaxed structure of LiPd2F. Source: Alexandria via LeMat-Bulk, functional PBE.

The structure belongs to space group Fm-3m (No. 225); the cell edges are 5.993, 5.993 and 5.993 Å and the angles 90.00°, 90.00° and 90.00°. Symmetry generates all atoms from Li at (0.000, 0.000, 0.000), Pd at (0.250, 0.250, 0.250) and F at (0.000, 0.000, 0.500).

For the total magnetic moment, the calculation gives 0.0 μB per formula unit.


B.
A relaxed structure of LiPd2F. Source: Alexandria via LeMat-Bulk, functional PBE.

The structure belongs to space group I-42d (No. 122); the cell edges are 3.562, 3.562 and 20.491 Å and the angles 90.00°, 90.00° and 90.00°. Symmetry generates all atoms from Li at (0.000, 0.000, 0.000), Pd at (0.248, 0.250, 0.125) and F at (0.000, 0.000, 0.500).

For the total magnetic moment, the calculation gives 0.0 μB per formula unit.


Quick one: most stable of them? B


A.
A relaxed structure of LiPtF2. Source: Alexandria via LeMat-Bulk, functional PBE.

The structure belongs to space group R-3m (No. 166, hexagonal axes); the cell edges are 2.8145, 2.8145 and 22.3136 Å and the angles 90.00°, 90.00° and 120.00°. Symmetry generates all atoms from Li at (0.0000, 0.0000, 0.0000), Pt at (0.0000, 0.0000, 0.5000) and F at (0.0000, 0.0000, 0.0754).

For the total magnetic moment, the calculation gives 0.7 μB per formula unit.


B.
A relaxed structure of LiPtF2. Source: Alexandria via LeMat-Bulk, functional PBE.

The structure belongs to space group R-3m (No. 166, hexagonal axes); the cell edges are 2.8625, 2.8625 and 18.7408 Å and the angles 90.00°, 90.00° and 120.00°. Symmetry generates all atoms from Li at (0.0000, 0.0000, 0.0000), Pt at (0.0000, 0.0000, 0.5000) and F at (0.0000, 0.0000, 0.3918).

For the total magnetic moment, the calculation gives 0.0 μB per formula unit.


Quick one: most stable of them? B


A.
A relaxed structure of LiPtF2. Source: Alexandria via LeMat-Bulk, functional PBE.

The structure belongs to space group Fm-3m (No. 225); the cell edges are 5.807, 5.807 and 5.807 Å and the angles 90.00°, 90.00° and 90.00°. Symmetry generates all atoms from Li at (0.000, 0.000, 0.000), Pt at (0.000, 0.000, 0.500) and F at (0.250, 0.250, 0.250).

For the total magnetic moment, the calculation gives 1.1 μB per formula unit.


B.
A relaxed structure of LiPtF2. Source: Alexandria via LeMat-Bulk, functional PBE.

The structure belongs to space group I-42d (No. 122); the cell edges are 5.111, 5.111 and 7.985 Å and the angles 90.00°, 90.00° and 90.00°. Symmetry generates all atoms from Li at (0.000, 0.000, 0.000), Pt at (0.000, 0.000, 0.500) and F at (0.167, 0.250, 0.125).

For the total magnetic moment, the calculation gives 1.1 μB per formula unit.


Quick one: most stable of them? B


A.
A relaxed structure of LiPtF. Source: Alexandria via LeMat-Bulk, functional PBE.

The structure belongs to space group P4/nmm (No. 129, origin choice 2); the cell edges are 3.564, 3.564 and 6.533 Å and the angles 90.00°, 90.00° and 90.00°. Symmetry generates all atoms from Li at (0.250, 0.250, 0.073), Pt at (0.250, 0.250, 0.554) and F at (0.250, 0.750, 0.000).

For the total magnetic moment, the calculation gives 0.0 μB per formula unit.


B.
A relaxed structure of LiPtF. Source: Alexandria via LeMat-Bulk, functional PBE.

The structure belongs to space group Amm2 (No. 38); the cell edges are 2.680, 2.656 and 21.280 Å and the angles 90.00°, 90.00° and 90.00°. Symmetry generates all atoms from Li at (0.000, 0.000, 0.000), Li at (0.500, 0.000, 0.399), Pt at (0.000, 0.000, 0.754), Pt at (0.500, 0.000, 0.646), F at (0.000, 0.000, 0.898) and F at (0.500, 0.000, 0.501).

For the total magnetic moment, the calculation gives 0.0 μB per formula unit.


C.
A relaxed structure of LiPtF. Source: Alexandria via LeMat-Bulk, functional PBE.

The structure belongs to space group P-6m2 (No. 187); the cell edges are 4.1132, 4.1132 and 2.7457 Å and the angles 90.00°, 90.00° and 120.00°. Symmetry generates all atoms from Li at (0.0000, 0.0000, 0.0000), Pt at (0.6667, 0.3333, 0.5000) and F at (0.3333, 0.6667, 0.5000).

For the total magnetic moment, the calculation gives 0.0 μB per formula unit.


D.
A relaxed structure of LiPtF. Source: Alexandria via LeMat-Bulk, functional PBE.

The structure belongs to space group C2 (No. 5); the cell edges are 3.812, 3.811 and 10.691 Å and the angles 90.00°, 90.12° and 90.00°. Symmetry generates all atoms from Li at (0.249, 0.000, 0.402), Pt at (0.249, 0.002, 0.905) and F at (0.249, 0.500, 0.398).

For the total magnetic moment, the calculation gives 0.0 μB per formula unit.


Quick one: most stable of them? B


A.
A relaxed structure of Li3PtF. Source: Alexandria via LeMat-Bulk, functional PBE.

The structure belongs to space group Pm-3m (No. 221); the cell edges are 3.928, 3.928 and 3.928 Å and the angles 90.00°, 90.00° and 90.00°. Symmetry generates all atoms from Li at (0.000, 0.000, 0.500), Pt at (0.500, 0.500, 0.500) and F at (0.000, 0.000, 0.000).

For the total magnetic moment, the calculation gives 0.0 μB per formula unit.


B.
A relaxed structure of Li3PtF. Source: Alexandria via LeMat-Bulk, functional PBE.

The structure belongs to space group Pm-3m (No. 221); the cell edges are 4.728, 4.728 and 4.728 Å and the angles 90.00°, 90.00° and 90.00°. Symmetry generates all atoms from Li at (0.000, 0.000, 0.500), Pt at (0.000, 0.000, 0.000) and F at (0.500, 0.500, 0.500).

For the total magnetic moment, the calculation gives 0.0 μB per formula unit.


Quick one: most stable of them? A


A.
A relaxed structure of Rb2LiPtF6. Source: Alexandria via LeMat-Bulk, functional PBE.

The structure belongs to space group P-3m1 (No. 164); the cell edges are 6.0526, 6.0526 and 5.3480 Å and the angles 90.00°, 90.00° and 120.00°. Symmetry generates all atoms from Rb at (0.3333, 0.6667, 0.2285), Li at (0.0000, 0.0000, 0.0000), Pt at (0.0000, 0.0000, 0.5000) and F at (0.1519, 0.3039, 0.7541).

For the total magnetic moment, the calculation gives 1.0 μB per formula unit.


B.
A relaxed structure of Rb2LiPtF6. Source: Alexandria via LeMat-Bulk, functional PBE.

The structure belongs to space group I4/mmm (No. 139); the cell edges are 6.025, 6.025 and 8.455 Å and the angles 90.00°, 90.00° and 90.00°. Symmetry generates all atoms from Rb at (0.000, 0.500, 0.250), Li at (0.000, 0.000, 0.000), Pt at (0.000, 0.000, 0.500), F at (0.000, 0.000, 0.264) and F at (0.246, 0.246, 0.000).

For the total magnetic moment, the calculation gives 1.0 μB per formula unit.


Quick one: most stable of them? B


A.
A relaxed structure of LiPuF6. Source: Alexandria via LeMat-Bulk, functional PBE.

The structure belongs to space group P-31c (No. 163); the cell edges are 5.2176, 5.2176 and 9.7180 Å and the angles 90.00°, 90.00° and 120.00°. Symmetry generates all atoms from Li at (0.0000, 0.0000, 0.0000), Pu at (0.3333, 0.6667, 0.2500) and F at (0.0212, 0.3346, 0.1250).

For the total magnetic moment, the calculation gives 3.0 μB per formula unit.


B.
A relaxed structure of LiPuF6. Source: Alexandria via LeMat-Bulk, functional PBE.

The structure belongs to space group R-3 (No. 148, hexagonal axes); the cell edges are 5.3695, 5.3695 and 14.4740 Å and the angles 90.00°, 90.00° and 120.00°. Symmetry generates all atoms from Li at (0.0000, 0.0000, 0.0000), Pu at (0.0000, 0.0000, 0.5000) and F at (0.0030, 0.6190, 0.7502).

For the total magnetic moment, the calculation gives 3.0 μB per formula unit.


Quick one: most stable of them? B


A.
A relaxed structure of RbLiF2. Source: Alexandria via LeMat-Bulk, functional PBE.

The structure belongs to space group I-42d (No. 122); the cell edges are 5.927, 5.927 and 7.437 Å and the angles 90.00°, 90.00° and 90.00°. Symmetry generates all atoms from Rb at (0.000, 0.000, 0.000), Li at (0.000, 0.000, 0.500) and F at (0.130, 0.750, 0.625).

For the total magnetic moment, the calculation gives 0.0 μB per formula unit.


B.
A relaxed structure of RbLiF2. Source: Alexandria via LeMat-Bulk, functional PBE.

The structure belongs to space group R-3m (No. 166, hexagonal axes); the cell edges are 4.1239, 4.1239 and 19.6002 Å and the angles 90.00°, 90.00° and 120.00°. Symmetry generates all atoms from Rb at (0.0000, 0.0000, 0.0000), Li at (0.0000, 0.0000, 0.5000) and F at (0.0000, 0.0000, 0.4122).

For the total magnetic moment, the calculation gives 0.0 μB per formula unit.


C.
A relaxed structure of RbLiF2. Source: Alexandria via LeMat-Bulk, functional PBE.

The structure belongs to space group P4/mmm (No. 123); the cell edges are 3.087, 3.087 and 6.240 Å and the angles 90.00°, 90.00° and 90.00°. Symmetry generates all atoms from Rb at (0.000, 0.000, 0.000), Li at (0.000, 0.000, 0.500) and F at (0.500, 0.500, 0.288).

For the total magnetic moment, the calculation gives 0.1 μB per formula unit.


Quick one: most stable of them? A